Below is GaSi2GeB after structural relaxation, with properties calculated at the PBE-GGA level.

abc: 4.1997 4.1997 4.3655
angles: 90.00 90.00 90.00
Positions (direct):
Ga 0.0000 0.0000 0.0000
Si 0.0000 0.5000 0.5000
Si 0.5000 0.0000 0.5000
Ge 0.5000 0.5000 0.0000
B 0.0000 0.0000 0.5000

Computed properties:
Formation energy without anion corrections, eV per atom: 0.6138
Space group: No. 123
V, Å³ per atom: 15.40